Entry 1:
In3Pb: single point on PBEsol structure, meta-GGA SCAN.

DFT formation energy = 0.080 eV/atom
Crystal system = hexagonal

a b c (Å): 3.3520 3.3520 10.9877
angles (deg): 90.00 90.00 120.00
Space group P-6m2 (No. 187)
Inequivalent atoms, fractional coordinates:
In  0.0000  0.0000  0.0000 [1 per cell]
In  0.6667  0.3333  0.2421 [2 per cell]
Pb  0.0000  0.0000  0.5000 [1 per cell]



Entry 2:
ScZn2Ir: single point on PBEsol structure, meta-GGA SCAN.

DFT formation energy = -0.654 eV/atom
Crystal system = tetragonal

a b c (Å): 3.9000 3.9000 7.8214
angles (deg): 90.00 90.00 90.00
Space group I4/mmm (No. 139)
Inequivalent atoms, fractional coordinates:
Sc  0.0000  0.0000  0.0000 [2 per cell]
Zn  0.0000  0.5000  0.2500 [4 per cell]
Ir  0.0000  0.0000  0.5000 [2 per cell]



Entry 3:
TlNiAu2N: single point on PBEsol structure, meta-GGA SCAN.

Uncorrected formation energy = 1.86 eV per atom
Crystal system = tetragonal

a b c (Å): 5.1888 5.1888 4.8572
angles (deg): 90.00 90.00 90.00
Space group P4/mmm (No. 123)
Inequivalent atoms, fractional coordinates:
Tl  0.0000  0.0000  0.0000 [1 per cell]
Ni  0.0000  0.0000  0.5000 [1 per cell]
Au  0.0000  0.5000  0.0000 [2 per cell]
N  0.5000  0.5000  0.5000 [1 per cell]



Entry 4:
Ho12Ni6Pb: single point on PBEsol structure, meta-GGA SCAN.

DFT formation energy = -0.442 eV/atom
Crystal system = cubic

a b c (Å): 9.5048 9.5048 9.5048
angles (deg): 90.00 90.00 90.00
Space group Im-3 (No. 204)
Inequivalent atoms, fractional coordinates:
Ho  0.0000  0.3043  0.1880 [24 per cell]
Ni  0.0000  0.1241  0.5000 [12 per cell]
Pb  0.0000  0.0000  0.0000 [2 per cell]



Entry 5:
KSiC2: single point on PBEsol structure, meta-GGA SCAN.

Uncorrected formation energy = 0.82 eV per atom
Crystal system = tetragonal

a b c (Å): 4.7472 4.7472 10.9876
angles (deg): 90.00 90.00 90.00
Space group I4_1/amd (No. 141, origin choice 2)
Inequivalent atoms, fractional coordinates:
K  0.0000  0.2500  0.3750 [4 per cell]
Si  0.0000  0.2500  0.8750 [4 per cell]
C  0.0000  0.0000  0.0000 [8 per cell]



Entry 6:
KYP2O7: single point on PBEsol structure, meta-GGA SCAN.

Uncorrected formation energy = -2.97 eV per atom
Crystal system = orthorhombic

a b c (Å): 5.7259 9.2227 12.2219
angles (deg): 90.00 90.00 90.00
Space group Cmcm (No. 63)
Inequivalent atoms, fractional coordinates:
K  0.0000  0.1943  0.2500 [4 per cell]
Y  0.0000  0.5000  0.0000 [4 per cell]
P  0.0000  0.1435  0.6289 [8 per cell]
O  0.0000  0.2198  0.7500 [4 per cell]
O  0.0000  0.2720  0.5520 [8 per cell]
O  0.2215  0.0518  0.6236 [16 per cell]



Entry 7:
Co2MoOs: single point on PBEsol structure, meta-GGA SCAN.

DFT formation energy = 0.251 eV/atom
Crystal system = trigonal

a b c (Å): 2.6555 2.6555 25.1274
angles (deg): 90.00 90.00 120.00
Space group R3m (No. 160, hexagonal axes)
Inequivalent atoms, fractional coordinates:
Co  0.0000  0.0000  0.0000 [3 per cell]
Co  0.0000  0.0000  0.2586 [3 per cell]
Mo  0.0000  0.0000  0.7526 [3 per cell]
Os  0.0000  0.0000  0.5085 [3 per cell]



Entry 8:
La3AgGeS7: single point on PBEsol structure, meta-GGA SCAN.

Uncorrected formation energy = -1.75 eV per atom
Crystal system = hexagonal

a b c (Å): 10.3190 10.3190 5.8074
angles (deg): 90.00 90.00 120.00
Space group P6_3 (No. 173)
Inequivalent atoms, fractional coordinates:
La  0.1254  0.7665  0.0000 [6 per cell]
Ag  0.0000  0.0000  0.0457 [2 per cell]
Ge  0.3333  0.6667  0.4170 [2 per cell]
S  0.0929  0.8265  0.5135 [6 per cell]
S  0.1071  0.5204  0.2641 [6 per cell]
S  0.3333  0.6667  0.7941 [2 per cell]



Entry 9:
MgP2ICl: single point on PBEsol structure, meta-GGA SCAN.

Uncorrected formation energy = 0.33 eV per atom
Crystal system = tetragonal

a b c (Å): 4.9916 4.9916 4.5895
angles (deg): 90.00 90.00 90.00
Space group P4/mmm (No. 123)
Inequivalent atoms, fractional coordinates:
Mg  0.0000  0.0000  0.0000 [1 per cell]
P  0.0000  0.5000  0.0000 [2 per cell]
I  0.5000  0.5000  0.5000 [1 per cell]
Cl  0.0000  0.0000  0.5000 [1 per cell]



Entry 10:
SiH3Br: single point on PBEsol structure, meta-GGA SCAN.

Total DFT energy (no corrections) = -0.2377 hartree per atom
Crystal system = cubic

a b c (Å): 3.7691 3.7691 3.7691
angles (deg): 90.00 90.00 90.00
Space group Pm-3m (No. 221)
Inequivalent atoms, fractional coordinates:
Si  0.0000  0.0000  0.0000 [1 per cell]
H  0.0000  0.5000  0.5000 [3 per cell]
Br  0.5000  0.5000  0.5000 [1 per cell]



Entry 11:
NiHgSe2: single point on PBEsol structure, meta-GGA SCAN.

Uncorrected formation energy = -0.20 eV per atom
Crystal system = trigonal

a b c (Å): 3.5589 3.5589 20.8987
angles (deg): 90.00 90.00 120.00
Space group R-3m (No. 166, hexagonal axes)
Inequivalent atoms, fractional coordinates:
Ni  0.0000  0.0000  0.0000 [3 per cell]
Hg  0.0000  0.0000  0.5000 [3 per cell]
Se  0.0000  0.0000  0.2745 [6 per cell]



Entry 12:
Sr2MnNbPt: single point on PBEsol structure, meta-GGA SCAN.

DFT formation energy = 0.780 eV/atom
Crystal system = tetragonal

a b c (Å): 5.7484 5.7484 4.7758
angles (deg): 90.00 90.00 90.00
Space group P4/mmm (No. 123)
Inequivalent atoms, fractional coordinates:
Sr  0.0000  0.5000  0.0000 [2 per cell]
Mn  0.0000  0.0000  0.5000 [1 per cell]
Nb  0.5000  0.5000  0.0000 [1 per cell]
Pt  0.5000  0.5000  0.5000 [1 per cell]



Entry 13:
Cr2PPdSe: single point on PBEsol structure, meta-GGA SCAN.

Uncorrected formation energy = 0.77 eV per atom
Crystal system = tetragonal

a b c (Å): 4.5633 4.5633 4.6785
angles (deg): 90.00 90.00 90.00
Space group P4/mmm (No. 123)
Inequivalent atoms, fractional coordinates:
Cr  0.0000  0.5000  0.0000 [2 per cell]
P  0.0000  0.0000  0.5000 [1 per cell]
Pd  0.5000  0.5000  0.5000 [1 per cell]
Se  0.0000  0.0000  0.0000 [1 per cell]



Entry 14:
Ho4CdS7: single point on PBEsol structure, meta-GGA SCAN.

Uncorrected formation energy = -2.05 eV per atom
Crystal system = monoclinic

a b c (Å): 12.4534 3.7640 11.3989
angles (deg): 90.00 105.42 90.00
Space group Cm (No. 8)
Inequivalent atoms, fractional coordinates:
Ho  0.0000  0.0000  0.0000 [2 per cell]
Ho  0.0911  0.5000  0.3818 [2 per cell]
Ho  0.1942  0.5000  0.8127 [2 per cell]
Ho  0.3864  0.0000  0.6009 [2 per cell]
Cd  0.3197  0.5000  0.2299 [2 per cell]
S  0.0344  0.0000  0.7554 [2 per cell]
S  0.1602  0.5000  0.0305 [2 per cell]
S  0.2267  0.0000  0.3420 [2 per cell]
S  0.2363  0.5000  0.5986 [2 per cell]
S  0.3556  0.0000  0.8563 [2 per cell]
S  0.4468  0.0000  0.1586 [2 per cell]
S  0.4670  0.5000  0.4570 [2 per cell]



Entry 15:
Sb8Ru: single point on PBEsol structure, meta-GGA SCAN.

Uncorrected formation energy = 0.19 eV per atom
Crystal system = tetragonal

a b c (Å): 11.8365 11.8365 3.2466
angles (deg): 90.00 90.00 90.00
Space group I4/mmm (No. 139)
Inequivalent atoms, fractional coordinates:
Sb  0.0000  0.3374  0.0000 [8 per cell]
Sb  0.1355  0.1355  0.5000 [8 per cell]
Ru  0.0000  0.0000  0.0000 [2 per cell]



Entry 16:
TlGa2Sn: single point on PBEsol structure, meta-GGA SCAN.

DFT formation energy = 0.190 eV/atom
Crystal system = cubic

a b c (Å): 7.1688 7.1688 7.1688
angles (deg): 90.00 90.00 90.00
Space group Fm-3m (No. 225)
Inequivalent atoms, fractional coordinates:
Tl  0.0000  0.0000  0.0000 [4 per cell]
Ga  0.2500  0.2500  0.2500 [8 per cell]
Sn  0.0000  0.0000  0.5000 [4 per cell]



Entry 17:
Ni2AsRh: single point on PBEsol structure, meta-GGA SCAN.

DFT formation energy = 0.004 eV/atom
Crystal system = tetragonal

a b c (Å): 3.0260 3.0260 5.3793
angles (deg): 90.00 90.00 90.00
Space group P4/mmm (No. 123)
Inequivalent atoms, fractional coordinates:
Ni  0.0000  0.0000  0.2364 [2 per cell]
As  0.5000  0.5000  0.0000 [1 per cell]
Rh  0.5000  0.5000  0.5000 [1 per cell]



Entry 18:
KRu2Rh: single point on PBEsol structure, meta-GGA SCAN.

DFT formation energy = 1.436 eV/atom
Crystal system = tetragonal

a b c (Å): 3.9266 3.9266 8.1379
angles (deg): 90.00 90.00 90.00
Space group I4/mmm (No. 139)
Inequivalent atoms, fractional coordinates:
K  0.0000  0.0000  0.0000 [2 per cell]
Ru  0.0000  0.5000  0.2500 [4 per cell]
Rh  0.0000  0.0000  0.5000 [2 per cell]



Entry 19:
AlIrSe2: single point on PBEsol structure, meta-GGA SCAN.

Uncorrected formation energy = 0.08 eV per atom
Crystal system = orthorhombic

a b c (Å): 2.9344 4.3386 11.3066
angles (deg): 90.00 90.00 90.00
Space group Imm2 (No. 44)
Inequivalent atoms, fractional coordinates:
Al  0.0000  0.0000  0.0000 [2 per cell]
Ir  0.0000  0.5000  0.6874 [2 per cell]
Se  0.0000  0.0000  0.3818 [2 per cell]
Se  0.0000  0.5000  0.1604 [2 per cell]



Entry 20:
Cu3Pt2: single point on PBEsol structure, meta-GGA SCAN.

DFT formation energy = -0.131 eV/atom
Crystal system = triclinic

a b c (Å): 4.5404 5.3234 5.8957
angles (deg): 103.36 96.69 107.15
Space group P1 (No. 1)
Inequivalent atoms, fractional coordinates:
Cu  0.0000  0.0000  0.0000 [1 per cell]
Cu  0.0034  0.5064  0.9974 [1 per cell]
Cu  0.1983  0.8931  0.3865 [1 per cell]
Cu  0.2026  0.4090  0.3896 [1 per cell]
Cu  0.6031  0.7036  0.1925 [1 per cell]
Cu  0.8007  0.6037  0.5904 [1 per cell]
Pt  0.3905  0.7973  0.7926 [1 per cell]
Pt  0.4031  0.3063  0.7942 [1 per cell]
Pt  0.6048  0.2123  0.1983 [1 per cell]
Pt  0.8068  0.0954  0.5854 [1 per cell]



Entry 21:
TlSnAsBr2: single point on PBEsol structure, meta-GGA SCAN.

Uncorrected formation energy = 0.30 eV per atom
Crystal system = tetragonal

a b c (Å): 5.4255 5.4255 5.4076
angles (deg): 90.00 90.00 90.00
Space group P4/mmm (No. 123)
Inequivalent atoms, fractional coordinates:
Tl  0.0000  0.0000  0.0000 [1 per cell]
Sn  0.5000  0.5000  0.5000 [1 per cell]
As  0.0000  0.0000  0.5000 [1 per cell]
Br  0.0000  0.5000  0.0000 [2 per cell]



Entry 22:
MnZn2Ir: single point on PBEsol structure, meta-GGA SCAN.

DFT formation energy = -0.120 eV/atom
Crystal system = trigonal

a b c (Å): 2.7203 2.7203 25.2765
angles (deg): 90.00 90.00 120.00
Space group R-3m (No. 166, hexagonal axes)
Inequivalent atoms, fractional coordinates:
Mn  0.0000  0.0000  0.0000 [3 per cell]
Zn  0.0000  0.0000  0.2503 [6 per cell]
Ir  0.0000  0.0000  0.5000 [3 per cell]



Entry 23:
ScFeTeI2: single point on PBEsol structure, meta-GGA SCAN.

Uncorrected formation energy = -0.02 eV per atom
Crystal system = tetragonal

a b c (Å): 5.5524 5.5524 5.6122
angles (deg): 90.00 90.00 90.00
Space group P4/mmm (No. 123)
Inequivalent atoms, fractional coordinates:
Sc  0.0000  0.0000  0.0000 [1 per cell]
Fe  0.5000  0.5000  0.5000 [1 per cell]
Te  0.0000  0.0000  0.5000 [1 per cell]
I  0.0000  0.5000  0.0000 [2 per cell]



Entry 24:
Co4NiP: single point on PBEsol structure, meta-GGA SCAN.

DFT formation energy = 0.390 eV/atom
Crystal system = cubic

a b c (Å): 6.4304 6.4304 6.4304
angles (deg): 90.00 90.00 90.00
Space group F-43m (No. 216)
Inequivalent atoms, fractional coordinates:
Co  0.1247  0.1247  0.1247 [16 per cell]
Ni  0.2500  0.2500  0.7500 [4 per cell]
P  0.0000  0.0000  0.5000 [4 per cell]



Entry 25:
TlWCl: single point on PBEsol structure, meta-GGA SCAN.

Uncorrected formation energy = 0.95 eV per atom
Crystal system = orthorhombic

a b c (Å): 2.8533 3.8102 10.4635
angles (deg): 90.00 90.00 90.00
Space group Imm2 (No. 44)
Inequivalent atoms, fractional coordinates:
Tl  0.0000  0.0000  0.0000 [2 per cell]
W  0.0000  0.0000  0.7081 [2 per cell]
Cl  0.0000  0.0000  0.2871 [2 per cell]



| no. | theoretical density (g/cm³) |
| --- | --- |
| 1 | 8.6 |
| 2 | 10.3 |
| 3 | 8.5 |
| 4 | 9.8 |
| 5 | 2.4 |
| 6 | 3.1 |
| 7 | 13.1 |
| 8 | 5.1 |
| 9 | 3.6 |
| 10 | 3.4 |
| 11 | 9.1 |
| 12 | 5.5 |
| 13 | 5.5 |
| 14 | 6.4 |
| 15 | 7.9 |
| 16 | 8.3 |
| 17 | 10.0 |
| 18 | 9.1 |
| 19 | 8.7 |
| 20 | 14.9 |
| 21 | 5.8 |
| 22 | 11.6 |
| 23 | 4.6 |
| 24 | 8.1 |
| 25 | 12.4 |